{"formula": "CaFeN2F", "functional": "PBE with a Hubbard U", "state": "optimized geometry", "cell": [[4.565, 0.000, 0.000], [0.000, 4.565, 0.000], [0.000, 0.000, 4.175]], "species": ["Fe", "F", "N", "Ca", "N"], "fractional_positions": [[0.500, 0.500, 0.500], [0.000, 0.000, 0.500], [0.000, 0.500, 0.000], [0.000, 0.000, 0.000], [0.500, 0.000, 0.000]], "polymorph_energy_mev_per_atom": 1327}